DFT (PBE) results for an optimized crystal structure of TbCeHo3Sc.

Properties
- volume (Å³/cell) = 720
- DFT formation energy (eV/atom) = 0.069
- Fermi-level density of states (states/eV/f.u.) = 11.40

Cell lengths 4.941, 14.765, 9.863 Å; angles 90.00, 90.00, 90.00 degrees
Space group Cmcm (No. 63)
Symmetry-distinct sites (fractional):
Tb (0.000, 0.000, 0.000)
Ce (0.000, 0.498, 0.250)
Ho (0.000, 0.169, 0.250)
Ho (0.000, 0.334, 0.001)
Sc (0.000, 0.167, 0.750)

DFT (PBE) results for an optimized crystal structure of TbCeHo2Sc4.

Properties
- volume (Å³/cell) = 220
- DFT formation energy (eV/atom) = 0.061
- Fermi-level density of states (states/eV/f.u.) = 13.71

Cell lengths 4.912, 4.912, 9.134 Å; angles 90.00, 90.00, 90.00 degrees
Space group P4/mmm (No. 123)
Symmetry-distinct sites (fractional):
Tb (0.000, 0.000, 0.000)
Ce (0.500, 0.500, 0.500)
Ho (0.000, 0.000, 0.500)
Ho (0.500, 0.500, 0.000)
Sc (0.000, 0.500, 0.253)

DFT (PBE) results for an optimized crystal structure of Ce3Ho2ScTe6.

Properties
- volume (Å³/cell) = 716
- Fermi-level density of states (states/eV/f.u.) = 22.66
- raw formation energy (eV per formula unit) = -15.5

Cell lengths 19.235, 4.339, 8.875 Å; angles 90.00, 104.74, 90.00 degrees
Space group C2/m (No. 12)
Symmetry-distinct sites (fractional):
Ce (0.000, 0.000, 0.000)
Ce (0.169, 0.500, 0.335)
Ho (0.166, 0.500, 0.832)
Sc (0.000, 0.000, 0.500)
Te (0.001, 0.500, 0.733)
Te (0.159, 0.000, 0.588)
Te (0.170, 0.000, 0.076)